1.
VASP calculation (PBE) on crystalline Ag5Sn2Au2 at its relaxed geometry. Values from VASP.

Structure (Quantum ESPRESSO input):
```
&SYSTEM
  ibrav = 0, nat = 18, ntyp = 3
/
ATOMIC_SPECIES
Sn 118.71 Sn.upf
Au 196.97 Au.upf
Ag 107.87 Ag.upf
ATOMIC_POSITIONS angstrom
Sn 2.147 -3.084 -2.723
Sn 0.198 0.005 -0.119
Sn 2.534 -1.328 3.709
Sn 4.357 -5.118 0.865
Au 6.579 -3.477 4.653
Au 3.706 -5.498 5.502
Au 3.156 -0.949 -0.911
Au 0.283 -2.970 -0.062
Ag 1.703 -5.492 -0.710
Ag 5.028 -1.350 2.164
Ag 5.255 -2.626 -0.375
Ag 4.217 -5.458 -2.241
Ag 2.732 -2.711 1.138
Ag 1.844 -5.097 2.421
Ag 1.629 -3.802 4.961
Ag 5.203 -0.922 5.289
Ag 4.145 -3.755 3.435
Ag 2.677 -1.021 6.798
CELL_PARAMETERS angstrom
-1.141 -6.312 -2.167
5.039 0.133 -3.040
2.609 -0.277 10.012
```

## Properties
Electronic total energy = -3.131 eV per atom
DOS(E_F) = 3.133 states/eV/f.u.
Formation energy = 0.071 eV per atom

2.
VASP calculation (PBE) on crystalline Pr6BiAs3P2 at its relaxed geometry. Values from VASP.

Structure (Quantum ESPRESSO input):
```
&SYSTEM
  ibrav = 0, nat = 12, ntyp = 4
/
ATOMIC_SPECIES
Pr 140.91 Pr.upf
P 30.97 P.upf
As 74.92 As.upf
Bi 208.98 Bi.upf
ATOMIC_POSITIONS angstrom
Pr 2.160 -0.053 3.189
Pr 0.000 2.009 6.154
Pr 0.000 2.302 0.150
Pr 0.000 6.255 6.236
Pr 2.160 3.899 9.276
Pr 2.160 4.192 3.272
P 0.000 2.081 3.172
P 2.160 4.120 6.253
As 2.160 4.340 0.166
As 2.160 -0.200 6.154
As 0.000 6.401 3.272
Bi 2.160 0.000 0.000
CELL_PARAMETERS angstrom
4.321 0.000 0.000
0.000 8.680 0.332
-2.160 -2.478 9.094
```

## Properties
Electronic total energy = -6.160 eV per atom
DOS(E_F) = 1.761 states/eV/f.u.
Formation energy = -1.383 eV per atom

3.
VASP calculation (PBE) on crystalline Li2GeSeS at its relaxed geometry. Values from VASP.

Structure (Quantum ESPRESSO input):
```
&SYSTEM
  ibrav = 0, nat = 5, ntyp = 4
/
ATOMIC_SPECIES
Se 78.96 Se.upf
S 32.06 S.upf
Li 6.94 Li.upf
Ge 72.64 Ge.upf
ATOMIC_POSITIONS angstrom
Se 0.000 0.000 0.000
S -3.846 -0.201 -1.684
Li -1.733 -0.997 1.049
Li -1.268 1.835 -0.351
Ge -0.845 -1.039 -2.382
CELL_PARAMETERS angstrom
-2.536 3.670 -0.702
-1.689 -2.079 -4.765
-3.466 -1.994 2.099
```

## Properties
Electronic total energy = -3.621 eV per atom
Energy relative to the elements, uncorrected = -2.0 eV/f.u.
DOS(E_F) = 0.004 states/eV/f.u.

4.
VASP calculation (PBE) on crystalline CeSmYTl at its relaxed geometry. Values from VASP.

Structure (Quantum ESPRESSO input):
```
&SYSTEM
  ibrav = 0, nat = 4, ntyp = 4
/
ATOMIC_SPECIES
Sm 150.36 Sm.upf
Tl 204.38 Tl.upf
Ce 140.12 Ce.upf
Y 88.91 Y.upf
ATOMIC_POSITIONS angstrom
Sm 8.190 4.729 3.344
Tl 0.000 0.000 0.000
Ce 5.460 3.153 2.229
Y 2.730 1.576 1.115
CELL_PARAMETERS angstrom
5.460 0.000 0.000
2.730 4.729 0.000
2.730 1.576 4.458
```

## Properties
Electronic total energy = -4.864 eV per atom
DOS(E_F) = 7.043 states/eV/f.u.
Formation energy = 0.007 eV per atom

5.
VASP calculation (PBE) on crystalline TmMg6Sc4 at its relaxed geometry. Values from VASP.

Structure (Quantum ESPRESSO input):
```
&SYSTEM
  ibrav = 0, nat = 11, ntyp = 3
/
ATOMIC_SPECIES
Sc 44.96 Sc.upf
Mg 24.30 Mg.upf
Tm 168.93 Tm.upf
ATOMIC_POSITIONS angstrom
Sc 2.833 -2.746 -3.290
Sc 4.014 -5.438 -2.327
Sc -1.309 -3.429 0.189
Sc 4.106 -3.070 -0.340
Mg 6.600 -4.952 -0.632
Mg -2.508 -1.789 -1.927
Mg 1.349 -4.367 -1.061
Mg -2.920 -0.916 1.159
Mg -0.483 -2.304 2.768
Mg 4.614 -4.447 -5.236
Tm 0.000 0.000 0.000
CELL_PARAMETERS angstrom
-7.202 -0.563 3.044
2.187 -3.015 -6.898
6.236 -4.045 2.491
```

## Properties
Electronic total energy = -3.246 eV per atom
DOS(E_F) = 10.926 states/eV/f.u.
Formation energy = 0.333 eV per atom

6.
VASP calculation (PBE) on crystalline CeGdZnIr at its relaxed geometry. Values from VASP.

Structure (Quantum ESPRESSO input):
```
&SYSTEM
  ibrav = 0, nat = 4, ntyp = 4
/
ATOMIC_SPECIES
Gd 157.25 Gd.upf
Ir 192.22 Ir.upf
Ce 140.12 Ce.upf
Zn 65.41 Zn.upf
ATOMIC_POSITIONS angstrom
Gd 2.502 1.445 1.021
Ir 5.004 2.889 2.043
Ce 7.506 4.334 3.064
Zn 0.000 0.000 0.000
CELL_PARAMETERS angstrom
5.004 0.000 0.000
2.502 4.334 0.000
2.502 1.445 4.086
```

## Properties
Electronic total energy = -8.039 eV per atom
DOS(E_F) = 5.872 states/eV/f.u.
Formation energy = -0.501 eV per atom